## i
Ti3MnMo: relaxed, PBE-GGA.

Values from the calculation:
volume	153	Å³ per cell

abc: 4.4242 4.4213 8.1280
angles: 90.00 105.65 90.00
Element x y z (fractional)
Ti  0.0613  0.2500  0.1227
Ti  0.2496  0.2500  0.4998
Ti  0.4384  0.2500  0.8758
Ti  0.5616  0.7500  0.1242
Ti  0.7504  0.7500  0.5002
Ti  0.9387  0.7500  0.8773
Mn  0.1474  0.7500  0.2961
Mn  0.8526  0.2500  0.7039
Mo  0.3513  0.7500  0.7015
Mo  0.6487  0.2500  0.2985


## ii
Ti3MnMo: relaxed, PBE-GGA.

Values from the calculation:
volume	86	Å³ per cell

abc: 4.4115 4.4115 4.4115
angles: 90.00 90.00 90.00
Element x y z (fractional)
Ti  0.0000  0.0000  0.5000
Ti  0.0000  0.5000  0.0000
Ti  0.5000  0.0000  0.0000
Mn  0.0000  0.0000  0.0000
Mo  0.5000  0.5000  0.5000


Of them, the most stable is i and the least stable is ii.


## i
MnTlMo2: relaxed, PBE-GGA.

Values from the calculation:
volume	67	Å³ per cell

abc: 9.1684 9.1684 9.1684
angles: 18.40 18.40 18.40
Element x y z (fractional)
Mn  0.0000  0.0000  0.0000
Tl  0.5000  0.5000  0.5000
Mo  0.2600  0.2600  0.2600
Mo  0.7400  0.7400  0.7400


## ii
MnTlMo2: relaxed, PBE-GGA.

Values from the calculation:
volume	68	Å³ per cell

abc: 4.5758 4.5758 4.5758
angles: 60.00 60.00 60.00
Element x y z (fractional)
Mn  0.0000  0.0000  0.0000
Tl  0.7500  0.7500  0.7500
Mo  0.2500  0.2500  0.2500
Mo  0.5000  0.5000  0.5000


Of them, the most stable is ii and the least stable is i.


## i
MnTlMo2: relaxed, PBE-GGA.

Values from the calculation:
volume	69	Å³ per cell

abc: 3.3224 3.3224 6.2122
angles: 90.00 90.00 90.00
Element x y z (fractional)
Mn  0.0000  0.0000  0.0000
Tl  0.0000  0.0000  0.5000
Mo  0.5000  0.5000  0.1920
Mo  0.5000  0.5000  0.8080


## ii
MnTlMo2: relaxed, PBE-GGA.

Values from the calculation:
volume	68	Å³ per cell

abc: 5.2124 5.2124 4.5859
angles: 116.02 116.02 37.98
Element x y z (fractional)
Mn  0.0000  0.0000  0.0000
Tl  0.2409  0.2409  0.7410
Mo  0.4677  0.4677  0.4675
Mo  0.7441  0.7441  0.2442


## iii
MnTlMo2: relaxed, PBE-GGA.

Values from the calculation:
volume	67	Å³ per cell

abc: 4.8779 4.8779 4.8779
angles: 129.85 129.85 73.64
Element x y z (fractional)
Mn  0.0000  0.0000  0.0000
Tl  0.7500  0.2500  0.5000
Mo  0.2500  0.7500  0.5000
Mo  0.5000  0.5000  0.0000


## iv
MnTlMo2: relaxed, PBE-GGA.

Values from the calculation:
volume	65	Å³ per cell

abc: 2.8700 2.8700 7.9168
angles: 90.00 90.00 90.00
Element x y z (fractional)
Mn  0.0000  0.0000  0.0000
Tl  0.0000  0.0000  0.5000
Mo  0.5000  0.5000  0.2019
Mo  0.5000  0.5000  0.7981


Of them, the most stable is iv and the least stable is iii.